No. 1
Entry from Alexandria: an optimized crystal structure of Li4HgAu (PBE).

Cell lengths 7.2031, 7.2031, 7.2031 Å; angles 90.00, 90.00, 90.00 degrees
Closest atoms and distances in Å follow each position.
Space group F-43m (No. 216)
Unique sites:
1 Li 0.1244 0.1244 0.1244 [16 per cell]  6 Li 2.53-2.56
2 Hg 0.0000 0.0000 0.5000 [4 per cell]  12 Li 2.99, 4 Au 3.12
3 Au 0.2500 0.2500 0.7500 [4 per cell]  12 Li 2.98, 4 Hg 3.12

Values from the calculation:
Energy above the most stable polymorph in this dataset in meV per atom: 163
Uncorrected energy in eV/f.u.: -12.4
DOS at the Fermi energy in states/eV per cell: 9.0
Magnetic moment in μB/f.u.: 0.000



No. 2
Entry from Alexandria: an optimized crystal structure of Li6Hg5Au (PBE).

Cell lengths 14.5824, 6.6330, 4.6646 Å; angles 90.00, 106.91, 90.00 degrees
Closest atoms and distances in Å follow each position.
Space group C2/m (No. 12)
Unique sites:
1 Li 0.0000 0.2353 0.0000 [4 per cell]  2 Au 2.81, 6 Hg 2.84-2.92, 1 Li 3.12
2 Li 0.1614 0.2426 0.6637 [8 per cell]  1 Au 2.77, 7 Hg 2.83-2.91
3 Hg 0.0000 0.5000 0.5000 [2 per cell]  8 Li 2.83-2.92
4 Hg 0.1664 0.5000 0.1667 [4 per cell]  8 Li 2.89-2.91, 1 Hg 3.23
5 Hg 0.1696 0.0000 0.1728 [4 per cell]  8 Li 2.83-2.91
6 Au 0.0000 0.0000 0.5000 [2 per cell]  8 Li 2.77-2.81

Values from the calculation:
Uncorrected energy in eV/f.u.: -21.0
DOS at the Fermi energy in states/eV per cell: 7.9
Magnetic moment in μB/f.u.: 0.000



No. 3
Entry from Alexandria: an optimized crystal structure of Li3HgAu4 (PBE).

Cell lengths 20.1850, 4.7642, 2.9048 Å; angles 90.00, 98.20, 90.00 degrees
Closest atoms and distances in Å follow each position.
Space group C2/m (No. 12)
Unique sites:
1 Li 0.0000 0.0000 0.0000 [2 per cell]  4 Au 2.66-2.67, 4 Hg 2.79, 2 Li 2.90
2 Li 0.2275 0.0000 0.2275 [4 per cell]  6 Au 2.70-2.75, 6 Li 2.90-2.93
3 Hg 0.0000 0.5000 0.5000 [2 per cell]  4 Li 2.79, 2 Hg 2.90
4 Au 0.1118 0.0000 0.6122 [4 per cell]  4 Li 2.66-2.73, 6 Au 2.90-2.95
5 Au 0.1588 0.5000 0.1602 [4 per cell]  4 Li 2.70-2.75, 6 Au 2.90-2.95

Values from the calculation:
Energy above the most stable polymorph in this dataset in meV per atom: 79
Uncorrected energy in eV/f.u.: -21.7
DOS at the Fermi energy in states/eV per cell: 3.9
Magnetic moment in μB/f.u.: 0.000



No. 4
Entry from Alexandria: an optimized crystal structure of Li3HgAu12 (PBE).

Cell lengths 4.1030, 4.1030, 16.5437 Å; angles 90.00, 90.00, 90.00 degrees
Closest atoms and distances in Å follow each position.
Space group P4/mmm (No. 123)
Unique sites:
1 Li 0.0000 0.0000 0.0000 [1 per cell]  12 Au 2.87-2.90
2 Li 0.0000 0.0000 0.2441 [2 per cell]  12 Au 2.86-2.90
3 Hg 0.0000 0.0000 0.5000 [1 per cell]  12 Au 2.90-3.04
4 Au 0.0000 0.5000 0.1215 [4 per cell]  4 Li 2.87-2.88, 8 Au 2.87-2.90
5 Au 0.0000 0.5000 0.3644 [4 per cell]  2 Li 2.86, 8 Au 2.87-3.04, 2 Hg 3.04
6 Au 0.5000 0.5000 0.0000 [1 per cell]  8 Au 2.87, 4 Li 2.90
7 Au 0.5000 0.5000 0.2432 [2 per cell]  8 Au 2.87, 4 Li 2.90
8 Au 0.5000 0.5000 0.5000 [1 per cell]  4 Hg 2.90, 8 Au 3.04

Values from the calculation:
Uncorrected energy in eV/f.u.: -49.4
DOS at the Fermi energy in states/eV per cell: 5.2
Magnetic moment in μB/f.u.: 0.000



No. 5
Entry from Alexandria: an optimized crystal structure of LiHgAu4 (PBE).

Cell lengths 5.0129, 5.1411, 5.1965 Å; angles 100.96, 118.40, 102.02 degrees
Closest atoms and distances in Å follow each position.
Space group P-1 (No. 2)
Unique sites:
1 Li 0.0000 0.0000 0.0000 [1 per cell]  2 Hg 2.87, 10 Au 2.89-3.08
2 Hg 0.5000 0.5000 0.5000 [1 per cell]  2 Li 2.87, 10 Au 2.93-3.02
3 Au 0.1636 0.5001 0.8393 [2 per cell]  7 Au 2.84-3.10, 2 Li 2.93-2.95, 3 Hg 2.93-3.02
4 Au 0.3315 0.9983 0.6726 [2 per cell]  7 Au 2.86-2.99, 3 Li 2.89-3.08, 2 Hg 2.97-2.98

Values from the calculation:
Energy above the most stable polymorph in this dataset in meV per atom: 16
Uncorrected energy in eV/f.u.: -16.4
DOS at the Fermi energy in states/eV per cell: 2.2
Magnetic moment in μB/f.u.: 0.000



No. 6
Entry from Alexandria: an optimized crystal structure of Li2HgAu6 (PBE).

Cell lengths 5.0085, 7.9091, 8.7326 Å; angles 69.65, 83.99, 78.94 degrees
Closest atoms and distances in Å follow each position.
Space group P-1 (No. 2)
Unique sites:
1 Li 0.0458 0.1991 0.4468 [2 per cell]  10 Au 2.73-3.01, 1 Li 3.02
2 Li 0.3699 0.5301 0.7838 [2 per cell]  9 Au 2.74-2.95, 1 Hg 2.91, 1 Li 3.02
3 Hg 0.3022 0.1489 0.8821 [2 per cell]  10 Au 2.91-3.08, 1 Li 2.91, 1 Hg 3.07
4 Au 0.0863 0.5725 0.3344 [2 per cell]  4 Li 2.81-3.01, 7 Au 2.83-3.07, 1 Hg 2.91
5 Au 0.1355 0.9737 0.2426 [2 per cell]  2 Li 2.73-2.88, 6 Au 2.84-3.04, 2 Hg 3.00-3.02
6 Au 0.1863 0.3619 0.1191 [2 per cell]  4 Li 2.78-2.90, 7 Au 2.87-2.95, 1 Hg 3.04
7 Au 0.2570 0.7397 0.9973 [2 per cell]  2 Li 2.84-2.85, 6 Au 2.86-3.04, 3 Hg 2.94-3.08
8 Au 0.4091 0.9112 0.6612 [2 per cell]  7 Au 2.82-3.06, 4 Li 2.86-2.94, 1 Hg 3.08
9 Au 0.4911 0.3106 0.5401 [2 per cell]  3 Li 2.74-2.87, 6 Au 2.83-3.06, 1 Hg 2.94

Values from the calculation:
Uncorrected energy in eV/f.u.: -26.1
DOS at the Fermi energy in states/eV per cell: 5.3
Magnetic moment in μB/f.u.: 0.000



No. 7
Entry from Alexandria: an optimized crystal structure of Li10HgAu6 (PBE).

Cell lengths 7.7301, 7.7301, 5.4900 Å; angles 90.00, 90.00, 120.00 degrees
Closest atoms and distances in Å follow each position.
Space group P-31m (No. 162)
Unique sites:
1 Li 0.0000 0.2886 0.1891 [6 per cell]  5 Au 2.66-2.92, 1 Hg 2.81, 2 Li 2.95
2 Li 0.3333 0.6667 0.0000 [2 per cell]  8 Li 2.75-2.95, 6 Au 2.92
3 Li 0.3333 0.6667 0.5000 [2 per cell]  6 Au 2.68, 2 Li 2.75
4 Hg 0.0000 0.0000 0.5000 [1 per cell]  6 Li 2.81, 6 Au 3.12
5 Au 0.0000 0.3757 0.7061 [6 per cell]  9 Li 2.66-2.92, 1 Au 2.97

Values from the calculation:
Uncorrected energy in eV/f.u.: -46.8
DOS at the Fermi energy in states/eV per cell: 4.2
Magnetic moment in μB/f.u.: 0.000



No. 8
Entry from Alexandria: an optimized crystal structure of Li5Hg5Au2 (PBE).

Cell lengths 8.1736, 4.5801, 12.4766 Å; angles 90.00, 103.18, 90.00 degrees
Closest atoms and distances in Å follow each position.
Space group C2/m (No. 12)
Unique sites:
1 Li 0.0000 0.0000 0.0000 [2 per cell]  2 Au 2.58, 6 Hg 2.85-2.86
2 Li 0.0946 0.5000 0.7996 [4 per cell]  3 Au 2.68-2.70
3 Li 0.1450 0.0000 0.4273 [4 per cell]  1 Au 2.61, 7 Hg 2.82-2.90
4 Hg 0.0000 0.5000 0.5000 [2 per cell]  6 Li 2.82-2.84
5 Hg 0.1975 0.5000 0.0792 [4 per cell]  6 Li 2.85-3.10, 3 Au 3.11-3.19, 1 Hg 3.15
6 Hg 0.2114 0.0000 0.6612 [4 per cell]  6 Li 2.84-3.15, 3 Au 3.07-3.14, 1 Hg 3.15
7 Au 0.0797 0.0000 0.2125 [4 per cell]  5 Li 2.58-2.70

Values from the calculation:
Uncorrected energy in eV/f.u.: -21.8
DOS at the Fermi energy in states/eV per cell: 8.2
Magnetic moment in μB/f.u.: 0.000



Calculated DFT formation energy in order - -0.190; -0.397; -0.319; -0.253; -0.173; -0.257; -0.455; -0.345 eV per atom